No. 1
Compound: TbPrNdDy2
Source: the Alexandria database
Functional: PBE
Structure: relaxed

Output
spin magnetization: 0.0011 μB/atom
electronic total energy: -4.30 eV/atom
calculated formation energy: 0.372 eV per atom

Lattice parameters (Å, degrees): 7.2005 7.2005 7.1751 90.00 90.00 108.00
Last column: nearest neighbours and their distance in Å.
Element x y z (fractional)
1 Tb 0.2228 0.7772 0.7500  1 Nd 3.23, 4 Dy 3.53, 2 Pr 3.59
2 Tb 0.7772 0.2228 0.2500  1 Nd 3.23, 4 Dy 3.53, 2 Pr 3.59
3 Pr 0.2303 0.7697 0.2500  1 Nd 3.15
4 Pr 0.7697 0.2303 0.7500  1 Nd 3.15
5 Nd 0.5003 0.4997 0.2500  1 Pr 3.15, 4 Dy 3.20, 1 Tb 3.23
6 Nd 0.4997 0.5003 0.7500  1 Pr 3.15, 4 Dy 3.20, 1 Tb 3.23
7 Dy 0.1865 0.1865 0.0000  1 Dy 3.16, 2 Nd 3.20, 2 Tb 3.53
8 Dy 0.1865 0.1865 0.5000  1 Dy 3.16, 2 Nd 3.20, 2 Tb 3.53
9 Dy 0.8135 0.8135 0.0000  1 Dy 3.16, 2 Nd 3.20, 2 Tb 3.53
10 Dy 0.8135 0.8135 0.5000  1 Dy 3.16, 2 Nd 3.20, 2 Tb 3.53

No. 2
Compound: Tb2PrNd2Dy
Source: the Alexandria database
Functional: PBE
Structure: relaxed

Output
spin magnetization: 0.0000 μB/atom
electronic total energy: -4.64 eV/atom
calculated formation energy: 0.060 eV per atom

Lattice parameters (Å, degrees): 7.0757 9.9300 5.7111 90.00 90.00 90.00
Last column: nearest neighbours and their distance in Å.
Element x y z (fractional)
1 Tb 0.2503 0.1668 0.0000  5 Nd 3.30-3.55
2 Tb 0.2497 0.6668 0.5000  5 Nd 3.30-3.55
3 Tb 0.7503 0.3332 0.5000  5 Nd 3.30-3.55
4 Tb 0.7497 0.8332 0.0000  5 Nd 3.30-3.55
5 Pr 0.0000 0.0000 0.5000  2 Dy 3.54, 6 Tb 3.75, 6 Nd 3.75
6 Pr 0.5000 0.5000 0.0000  2 Dy 3.54, 6 Tb 3.75, 6 Nd 3.75
7 Nd 0.2483 0.3333 0.5000  5 Tb 3.30-3.55
8 Nd 0.2517 0.8333 0.0000  5 Tb 3.30-3.55
9 Nd 0.7483 0.1667 0.0000  5 Tb 3.30-3.55
10 Nd 0.7517 0.6667 0.5000  5 Tb 3.30-3.55
11 Dy 0.0000 0.5000 0.0000  2 Pr 3.54, 6 Nd 3.74-3.76, 6 Tb 3.74-3.75
12 Dy 0.5000 0.0000 0.5000  2 Pr 3.54, 6 Nd 3.74-3.76, 6 Tb 3.74-3.75

No. 3
Compound: TbPr2NdDy
Source: the Alexandria database
Functional: PBE
Structure: relaxed

Output
spin magnetization: 0.0000 μB/atom
electronic total energy: -4.45 eV/atom
calculated formation energy: 0.261 eV per atom

Lattice parameters (Å, degrees): 8.2701 6.8150 6.2541 90.00 90.20 90.00
Last column: nearest neighbours and their distance in Å.
Element x y z (fractional)
1 Tb 0.0000 0.0795 0.2500  2 Pr 3.13, 2 Nd 3.26, 2 Tb 3.31
2 Tb 0.0000 0.9205 0.7500  2 Pr 3.13, 2 Nd 3.26, 2 Tb 3.31
3 Pr 0.3046 0.1925 0.7486  1 Tb 3.13, 1 Pr 3.23
4 Pr 0.3046 0.8075 0.2486  1 Tb 3.13, 1 Pr 3.23
5 Pr 0.6954 0.1925 0.7514  1 Tb 3.13, 1 Pr 3.23
6 Pr 0.6954 0.8075 0.2514  1 Tb 3.13, 1 Pr 3.23
7 Nd 0.0000 0.5000 0.0000  2 Nd 3.13, 2 Tb 3.26
8 Nd 0.0000 0.5000 0.5000  2 Nd 3.13, 2 Tb 3.26
9 Dy 0.5000 0.3437 0.2500  6 Pr 3.55-3.67, 2 Dy 3.78
10 Dy 0.5000 0.6563 0.7500  6 Pr 3.55-3.67, 2 Dy 3.78